LiMgCu2Se | PBE | optimized geometry Values from VASP.

The structure in Quantum ESPRESSO input format:
```
&SYSTEM
  ibrav = 0, nat = 5, ntyp = 4
/
ATOMIC_SPECIES
Cu 63.55 Cu.upf
Li 6.94 Li.upf
Se 78.96 Se.upf
Mg 24.30 Mg.upf
CELL_PARAMETERS angstrom
4.602 0.000 0.000
0.000 4.971 0.000
0.000 0.000 4.602
ATOMIC_POSITIONS crystal
Cu 0.000 0.000 0.500
Cu 0.500 0.000 0.000
Li 0.000 0.500 0.000
Se 0.500 0.500 0.500
Mg 0.000 0.000 0.000
```

The value obtained for the magnetic moment is 0.0 μB per formula unit. The uncorrected formation energy is 0.63 eV/atom. The value obtained for the total energy is -12.018 eV per cell.